No. 1
# PBE-GGA LaNbPt, optimized geometry
# mass density = 10.29 g/cm³
# magnetic moment = 0.00 μB per formula unit
# raw total energy = -88.09 eV for the cell shown
# formation energy = -328 meV/atom
data_LaNbPt
_chemical_formula_sum 'La4 Nb4 Pt4'
_space_group_name_H-M_alt 'C m m m'
_space_group_IT_number 65
_space_group_name_Hall '-C 2 2'
_cell_length_a 5.0845
_cell_length_b 5.1002
_cell_length_c 10.6301
_cell_angle_alpha 90.00
_cell_angle_beta 90.00
_cell_angle_gamma 90.00
loop_
_atom_site_label
_atom_site_fract_x
_atom_site_fract_y
_atom_site_fract_z
La1 0.0000 0.0000 0.1701
Nb1 0.0000 0.5000 0.3861
Pt1 0.0000 0.0000 0.5000
Pt2 0.0000 0.5000 0.0000

---

No. 2
# PBE-GGA La2NbPt, optimized geometry
# mass density = 9.04 g/cm³
# relative energy among the computed polymorphs = 135 meV per atom
# magnetic moment = 1.31 μB per formula unit
# raw total energy = -102.69 eV for the cell shown
# formation energy = 73 meV/atom
data_La2NbPt
_chemical_formula_sum 'La8 Nb4 Pt4'
_space_group_name_H-M_alt 'I -4 2 d'
_space_group_IT_number 122
_space_group_name_Hall 'I -4 2bw'
_cell_length_a 8.1367
_cell_length_b 8.1367
_cell_length_c 6.2803
_cell_angle_alpha 90.00
_cell_angle_beta 90.00
_cell_angle_gamma 90.00
loop_
_atom_site_label
_atom_site_fract_x
_atom_site_fract_y
_atom_site_fract_z
La1 0.2273 0.2500 0.1250
Nb1 0.0000 0.0000 0.5000
Pt1 0.0000 0.0000 0.0000

---

No. 3
# PBE-GGA La2NbPt, optimized geometry
# mass density = 9.25 g/cm³
# relative energy among the computed polymorphs = 0 meV per atom
# magnetic moment = 2.45 μB per formula unit
# raw total energy = -104.84 eV for the cell shown
# formation energy = -61 meV/atom
data_La2NbPt
_chemical_formula_sum 'La8 Nb4 Pt4'
_space_group_name_H-M_alt 'F m -3 m'
_space_group_IT_number 225
_space_group_name_Hall '-F 4 2 3'
_cell_length_a 7.4059
_cell_length_b 7.4059
_cell_length_c 7.4059
_cell_angle_alpha 90.00
_cell_angle_beta 90.00
_cell_angle_gamma 90.00
loop_
_atom_site_label
_atom_site_fract_x
_atom_site_fract_y
_atom_site_fract_z
La1 0.2500 0.2500 0.2500
Nb1 0.0000 0.0000 0.0000
Pt1 0.0000 0.0000 0.5000

---

No. 4
# PBE-GGA LaNbPt2, optimized geometry
# mass density = 12.48 g/cm³
# relative energy among the computed polymorphs = 0 meV per atom
# magnetic moment = 0.94 μB per formula unit
# raw total energy = -114.66 eV for the cell shown
# formation energy = -396 meV/atom
data_LaNbPt2
_chemical_formula_sum 'La4 Nb4 Pt8'
_space_group_name_H-M_alt 'F m -3 m'
_space_group_IT_number 225
_space_group_name_Hall '-F 4 2 3'
_cell_length_a 6.9185
_cell_length_b 6.9185
_cell_length_c 6.9185
_cell_angle_alpha 90.00
_cell_angle_beta 90.00
_cell_angle_gamma 90.00
loop_
_atom_site_label
_atom_site_fract_x
_atom_site_fract_y
_atom_site_fract_z
La1 0.0000 0.0000 0.0000
Nb1 0.0000 0.0000 0.5000
Pt1 0.2500 0.2500 0.2500

---

No. 5
# PBE-GGA La2NbPt2, optimized geometry
# mass density = 10.54 g/cm³
# magnetic moment = 0.00 μB per formula unit
# raw total energy = -70.28 eV for the cell shown
# formation energy = -626 meV/atom
data_La2NbPt2
_chemical_formula_sum 'La4 Nb2 Pt4'
_space_group_name_H-M_alt 'P 4/m b m'
_space_group_IT_number 127
_space_group_name_Hall '-P 4 2ab'
_cell_length_a 7.2061
_cell_length_b 7.2061
_cell_length_c 4.6185
_cell_angle_alpha 90.00
_cell_angle_beta 90.00
_cell_angle_gamma 90.00
loop_
_atom_site_label
_atom_site_fract_x
_atom_site_fract_y
_atom_site_fract_z
La1 0.1708 0.3292 0.0000
Nb1 0.0000 0.0000 0.5000
Pt1 0.1431 0.6431 0.5000

---

No. 6
# PBE-GGA LaNbPt2, optimized geometry
# mass density = 9.62 g/cm³
# relative energy among the computed polymorphs = 256 meV per atom
# magnetic moment = 0.00 μB per formula unit
# raw total energy = -110.56 eV for the cell shown
# formation energy = -140 meV/atom
data_LaNbPt2
_chemical_formula_sum 'La4 Nb4 Pt8'
_space_group_name_H-M_alt 'I -4 2 d'
_space_group_IT_number 122
_space_group_name_Hall 'I -4 2bw'
_cell_length_a 5.0680
_cell_length_b 5.0680
_cell_length_c 16.7262
_cell_angle_alpha 90.00
_cell_angle_beta 90.00
_cell_angle_gamma 90.00
loop_
_atom_site_label
_atom_site_fract_x
_atom_site_fract_y
_atom_site_fract_z
La1 0.0000 0.0000 0.0000
Nb1 0.0000 0.0000 0.5000
Pt1 0.1036 0.2500 0.6250

---

No. 7
# PBE-GGA La4NbPt2, optimized geometry
# mass density = 8.04 g/cm³
# magnetic moment = 0.00 μB per formula unit
# raw total energy = -85.01 eV for the cell shown
# formation energy = -92 meV/atom
data_La4NbPt2
_chemical_formula_sum 'La8 Nb2 Pt4'
_space_group_name_H-M_alt 'I 4/m m m'
_space_group_IT_number 139
_space_group_name_Hall '-I 4 2'
_cell_length_a 5.3449
_cell_length_b 5.3449
_cell_length_c 15.0197
_cell_angle_alpha 90.00
_cell_angle_beta 90.00
_cell_angle_gamma 90.00
loop_
_atom_site_label
_atom_site_fract_x
_atom_site_fract_y
_atom_site_fract_z
La1 0.0000 0.0000 0.1917
La2 0.0000 0.5000 0.0000
Nb1 0.0000 0.0000 0.0000
Pt1 0.0000 0.0000 0.3698

---

No. 8
# PBE-GGA LaNbPtRh2, optimized geometry
# mass density = 8.76 g/cm³
# magnetic moment = 0.00 μB per formula unit
# raw total energy = -32.11 eV for the cell shown
# formation energy = 726 meV/atom
data_LaNbPtRh2
_chemical_formula_sum 'La1 Nb1 Pt1 Rh2'
_space_group_name_H-M_alt 'P 4/m m m'
_space_group_IT_number 123
_space_group_name_Hall '-P 4 2'
_cell_length_a 4.6643
_cell_length_b 4.6643
_cell_length_c 5.5148
_cell_angle_alpha 90.00
_cell_angle_beta 90.00
_cell_angle_gamma 90.00
loop_
_atom_site_label
_atom_site_fract_x
_atom_site_fract_y
_atom_site_fract_z
La1 0.0000 0.0000 0.0000
Nb1 0.0000 0.0000 0.5000
Pt1 0.5000 0.5000 0.0000
Rh1 0.0000 0.5000 0.5000

---

No. 9
# PBE-GGA La2NbSi4Pt3, optimized geometry
# mass density = 9.36 g/cm³
# formation energy (no corrections) = -1010 meV/atom
# magnetic moment = 0.00 μB per formula unit
# raw total energy = -69.84 eV for the cell shown
data_La2NbSi4Pt3
_chemical_formula_sum 'La2 Nb1 Si4 Pt3'
_space_group_name_H-M_alt 'P -4 m 2'
_space_group_IT_number 115
_cell_length_a 4.2820
_cell_length_b 4.2820
_cell_length_c 10.3312
_cell_angle_alpha 90.00
_cell_angle_beta 90.00
_cell_angle_gamma 90.00
loop_
_space_group_symop_operation_xyz
'x,y,z'
'y,-x,-z'
'-x,-y,z'
'-y,x,-z'
'-x,y,z'
'-y,-x,-z'
'x,-y,z'
'y,x,-z'
loop_
_atom_site_label
_atom_site_fract_x
_atom_site_fract_y
_atom_site_fract_z
La1 0.0000 0.5000 0.2376
Nb1 0.0000 0.0000 0.5000
Si1 0.0000 0.0000 0.0000
Si2 0.0000 0.5000 0.6413
Si3 0.5000 0.5000 0.0000
Pt1 0.0000 0.5000 0.8833
Pt2 0.5000 0.5000 0.5000

---

No. 10
# PBE-GGA LaNbSnPt2, optimized geometry
# mass density = 9.58 g/cm³
# magnetic moment = 1.63 μB per formula unit
# raw total energy = -29.59 eV for the cell shown
# formation energy = 299 meV/atom
data_LaNbSnPt2
_chemical_formula_sum 'La1 Nb1 Sn1 Pt2'
_space_group_name_H-M_alt 'P 4/m m m'
_space_group_IT_number 123
_space_group_name_Hall '-P 4 2'
_cell_length_a 5.0014
_cell_length_b 5.0014
_cell_length_c 5.1351
_cell_angle_alpha 90.00
_cell_angle_beta 90.00
_cell_angle_gamma 90.00
loop_
_atom_site_label
_atom_site_fract_x
_atom_site_fract_y
_atom_site_fract_z
La1 0.0000 0.0000 0.0000
Nb1 0.5000 0.5000 0.0000
Sn1 0.5000 0.5000 0.5000
Pt1 0.0000 0.5000 0.5000

---

No. 11
# PBE-GGA SrLaNb2Pt, optimized geometry
# mass density = 7.36 g/cm³
# relative energy among the computed polymorphs = 25 meV per atom
# magnetic moment = 0.00 μB per formula unit
# raw total energy = -24.87 eV for the cell shown
# formation energy = 1584 meV/atom
data_SrLaNb2Pt
_chemical_formula_sum 'Sr1 La1 Nb2 Pt1'
_space_group_name_H-M_alt 'P 4/m m m'
_space_group_IT_number 123
_space_group_name_Hall '-P 4 2'
_cell_length_a 4.8689
_cell_length_b 4.8689
_cell_length_c 5.7827
_cell_angle_alpha 90.00
_cell_angle_beta 90.00
_cell_angle_gamma 90.00
loop_
_atom_site_label
_atom_site_fract_x
_atom_site_fract_y
_atom_site_fract_z
Sr1 0.0000 0.0000 0.0000
La1 0.0000 0.0000 0.5000
Nb1 0.0000 0.5000 0.5000
Pt1 0.5000 0.5000 0.0000

---

No. 12
# PBE-GGA SrLaNb2Pt, optimized geometry
# mass density = 7.48 g/cm³
# relative energy among the computed polymorphs = 0 meV per atom
# magnetic moment = 0.00 μB per formula unit
# raw total energy = -25.00 eV for the cell shown
# formation energy = 1558 meV/atom
data_SrLaNb2Pt
_chemical_formula_sum 'Sr1 La1 Nb2 Pt1'
_space_group_name_H-M_alt 'P 4/m m m'
_space_group_IT_number 123
_space_group_name_Hall '-P 4 2'
_cell_length_a 5.0449
_cell_length_b 5.0449
_cell_length_c 5.2975
_cell_angle_alpha 90.00
_cell_angle_beta 90.00
_cell_angle_gamma 90.00
loop_
_atom_site_label
_atom_site_fract_x
_atom_site_fract_y
_atom_site_fract_z
Sr1 0.0000 0.0000 0.0000
La1 0.5000 0.5000 0.5000
Nb1 0.0000 0.5000 0.0000
Pt1 0.0000 0.0000 0.5000

---

Which of these has the highest mass density? number 4

---

Which value of raw total energy does entry 8 give? -32.11 eV for the cell shown

---

Which of these has the highest magnetic moment? number 3

---

Number 8 is which compound? LaNbPtRh2